No. 1
Compound: Zr2Al3Os
Source: Alexandria via LeMat-Bulk
Functional: GGA-PBE
Structure: optimized geometry

abc: 5.256 5.256 5.256
angles: 60.33 60.33 60.33
Positions (direct):
Zr 0.130 0.130 0.130
Zr 0.870 0.870 0.870
Al 0.000 0.500 0.500
Al 0.500 0.000 0.500
Al 0.500 0.500 0.000
Os 0.500 0.500 0.500

Summary:
ΔE_f = -0.57 eV/atom

No. 2
Compound: Sr3In2Pb3
Source: Alexandria via LeMat-Bulk
Functional: GGA-PBE
Structure: optimized geometry

abc: 6.780 6.780 16.134
angles: 90.00 90.00 133.57
Positions (direct):
Sr 0.030 0.970 0.750
Sr 0.146 0.854 0.027
Sr 0.146 0.854 0.473
Sr 0.854 0.146 0.527
Sr 0.854 0.146 0.973
Sr 0.970 0.030 0.250
In 0.314 0.686 0.654
In 0.314 0.686 0.846
In 0.686 0.314 0.154
In 0.686 0.314 0.346
Pb 0.265 0.735 0.250
Pb 0.449 0.551 0.097
Pb 0.449 0.551 0.403
Pb 0.551 0.449 0.597
Pb 0.551 0.449 0.903
Pb 0.735 0.265 0.750

Summary:
ΔE_f = -0.37 eV/atom

No. 3
Compound: LiPd3Pt
Source: Alexandria via LeMat-Bulk
Functional: GGA-PBE
Structure: optimized geometry

abc: 4.206 4.206 4.206
angles: 90.00 90.00 90.00
Positions (direct):
Li 0.000 0.000 0.000
Pd 0.000 0.000 0.500
Pd 0.000 0.500 0.000
Pd 0.500 0.000 0.000
Pt 0.500 0.500 0.500

Summary:
E above lowest polymorph = 502 meV/atom
ΔE_f = 0.35 eV/atom

No. 4
Compound: IrPbBr6
Source: Alexandria via LeMat-Bulk
Functional: GGA-PBE
Structure: optimized geometry

abc: 6.874 6.874 7.343
angles: 104.91 104.91 101.12
Positions (direct):
Ir 0.000 0.000 0.000
Pb 0.000 0.000 0.500
Br 0.040 0.709 0.739
Br 0.254 0.254 0.924
Br 0.291 0.960 0.261
Br 0.709 0.040 0.739
Br 0.746 0.746 0.076
Br 0.960 0.291 0.261

Summary:
ΔE_f (raw) = -443 meV per atom

No. 5
Compound: Dy2AlGa3Ni4
Source: Alexandria via LeMat-Bulk
Functional: GGA-PBE
Structure: optimized geometry

abc: 3.931 3.931 10.562
angles: 90.00 90.00 90.00
Positions (direct):
Dy 0.000 0.500 0.246
Dy 0.500 0.000 0.754
Al 0.500 0.500 0.000
Ga 0.000 0.000 0.000
Ga 0.000 0.500 0.632
Ga 0.500 0.000 0.368
Ni 0.000 0.000 0.500
Ni 0.000 0.500 0.861
Ni 0.500 0.000 0.139
Ni 0.500 0.500 0.500

Summary:
ΔE_f = -0.59 eV/atom

No. 6
Compound: Sm3AgAu4
Source: Alexandria via LeMat-Bulk
Functional: GGA-PBE
Structure: optimized geometry

abc: 8.228 8.228 8.228
angles: 151.90 128.24 59.93
Positions (direct):
Sm 0.000 0.000 0.000
Sm 0.317 0.817 0.500
Sm 0.683 0.183 0.500
Ag 0.500 0.500 0.000
Au 0.067 0.369 0.698
Au 0.329 0.631 0.698
Au 0.671 0.369 0.302
Au 0.933 0.631 0.302

Summary:
ΔE_f = -0.61 eV/atom

No. 7
Compound: TlSiAg
Source: Alexandria via LeMat-Bulk
Functional: GGA-PBE
Structure: optimized geometry

abc: 3.720 4.345 8.735
angles: 104.27 102.27 90.01
Positions (direct):
Tl 0.000 0.000 0.000
Tl 0.366 0.364 0.733
Si 0.174 0.677 0.355
Si 0.578 0.585 0.168
Ag 0.706 0.182 0.366
Ag 0.796 0.798 0.601

Summary:
ΔE_f (raw) = 237 meV per atom

No. 8
Compound: Ce2DyFe2N6
Source: Alexandria via LeMat-Bulk
Functional: GGA-PBE
Structure: optimized geometry

abc: 6.738 6.738 6.738
angles: 48.49 48.49 48.49
Positions (direct):
Ce 0.206 0.206 0.206
Ce 0.794 0.794 0.794
Dy 0.000 0.000 0.000
Fe 0.406 0.406 0.406
Fe 0.594 0.594 0.594
N 0.227 0.739 0.739
N 0.261 0.261 0.773
N 0.261 0.773 0.261
N 0.739 0.227 0.739
N 0.739 0.739 0.227
N 0.773 0.261 0.261

Summary:
ΔE_f (raw) = -607 meV per atom